The following is a GGA-PBE calculation of a relaxed structure of LiAs2Ir, from Alexandria via LeMat-Bulk.

Cell lengths 2.9247, 4.7990, 9.5640 Å; angles 90.00, 90.00, 90.00 degrees
Closest atoms and distances in Å follow each position.
Space group Cmm2 (No. 35)
One atom of each set of equivalent atoms:
Li 0.0000 0.0000 0.0000  2 Ir 2.64, 2 As 2.67, 6 Li 2.81-2.92
As 0.0000 0.0000 0.4477  2 Ir 2.55, 4 As 2.81
As 0.0000 0.5000 0.7666  2 Li 2.67, 6 As 2.81-2.92
Ir 0.0000 0.5000 0.2294  2 As 2.55, 2 Li 2.64, 4 Ir 2.81

Calculated values
offset from the most stable computed form	1.48	eV per formula unit

=====

The following is a GGA-PBE calculation of a relaxed structure of LiAs2Ir, from Alexandria via LeMat-Bulk.

Cell lengths 2.9163, 4.1024, 5.5143 Å; angles 90.00, 90.00, 90.00 degrees
Closest atoms and distances in Å follow each position.
Space group Pmmm (No. 47)
One atom of each set of equivalent atoms:
Li 0.0000 0.0000 0.0000  8 As 2.85, 2 Li 2.92, 4 Ir 3.12
As 0.5000 0.5000 0.2443  2 Ir 2.49, 1 As 2.69
Ir 0.5000 0.0000 0.5000  4 As 2.49

Calculated values
offset from the most stable computed form	0.25	eV per formula unit

=====

The following is a GGA-PBE calculation of a relaxed structure of LiMnAs2Ir, from Alexandria via LeMat-Bulk.

Cell lengths 4.8311, 4.8311, 4.9517 Å; angles 90.00, 90.00, 90.00 degrees
Closest atoms and distances in Å follow each position.
Space group P4/mmm (No. 123)
One atom of each set of equivalent atoms:
Li 0.0000 0.0000 0.0000  4 Mn 3.42, 8 As 3.46
Mn 0.5000 0.5000 0.0000  2 Ir 2.48
As 0.0000 0.5000 0.5000  2 Ir 2.42
Ir 0.5000 0.5000 0.5000  4 As 2.42, 2 Mn 2.48

=====

The following is a GGA-PBE calculation of a relaxed structure of LiNd2As4Ir3, from Alexandria via LeMat-Bulk.

Cell lengths 4.3611, 4.3611, 9.9353 Å; angles 90.00, 90.00, 90.00 degrees
Closest atoms and distances in Å follow each position.
Space group P-4m2 (No. 115)
One atom of each set of equivalent atoms:
Li 0.0000 0.0000 0.0000  4 As 2.55
Nd 0.0000 0.5000 0.7475  8 As 3.29-3.30, 2 Li 3.32, 7 Ir 3.32-3.62
As 0.0000 0.0000 0.5000  4 Ir 2.47
As 0.0000 0.5000 0.1337  3 Ir 2.47-2.55, 2 Li 2.55
As 0.5000 0.5000 0.5000  4 Ir 2.47
Ir 0.0000 0.5000 0.3828  5 As 2.47
Ir 0.5000 0.5000 0.0000  4 As 2.55

=====

The following is a GGA-PBE calculation of a relaxed structure of Li2NiAs2Ir, from Alexandria via LeMat-Bulk.

Cell lengths 5.4339, 12.2672, 5.6588 Å; angles 90.00, 90.00, 90.00 degrees
Closest atoms and distances in Å follow each position.
Space group Ibam (No. 72)
One atom of each set of equivalent atoms:
Li 0.2474 0.1616 0.0000  5 As 2.68-2.88, 2 Ir 2.78, 2 Ni 2.80
Ni 0.0000 0.5000 0.2500  4 As 2.42
As 0.2370 0.3797 0.0000  2 Ni 2.42, 2 Ir 2.49, 1 Li 2.68
Ir 0.0000 0.0000 0.2500  4 As 2.49, 2 Ni 2.72, 4 Li 2.78

=====

The following is a GGA-PBE calculation of a relaxed structure of Li3As4Ir2Pd2, from Alexandria via LeMat-Bulk.

Cell lengths 4.3173, 4.3173, 10.9737 Å; angles 90.00, 90.00, 120.00 degrees
Closest atoms and distances in Å follow each position.
Space group P-3m1 (No. 164)
One atom of each set of equivalent atoms:
Li 0.0000 0.0000 0.0000  6 Pd 2.83, 6 As 2.90, 2 Li 2.94
Li 0.0000 0.0000 0.2676  6 As 2.74-2.88, 3 Ir 2.92, 1 Li 2.94, 3 Pd 2.96
As 0.3333 0.6667 0.3704  4 Ir 2.44-2.52, 1 Pd 2.72
As 0.3333 0.6667 0.8647  3 Pd 2.50
Ir 0.3333 0.6667 0.5931  4 As 2.44-2.52
Pd 0.3333 0.6667 0.1229  4 As 2.50-2.72

=====

The following is a GGA-PBE calculation of a relaxed structure of Li2As2IrPd, from Alexandria via LeMat-Bulk.

Cell lengths 5.6863, 12.3068, 5.7484 Å; angles 90.00, 90.00, 90.00 degrees
Closest atoms and distances in Å follow each position.
Space group Ibam (No. 72)
One atom of each set of equivalent atoms:
Li 0.2388 0.1583 0.0000  5 As 2.65-2.91, 2 Pd 2.78, 2 Ir 2.84
As 0.2340 0.3738 0.0000  2 Ir 2.50, 2 Pd 2.60, 1 Li 2.65
Ir 0.0000 0.5000 0.2500  4 As 2.50
Pd 0.0000 0.0000 0.2500  4 As 2.60, 4 Li 2.78, 2 Ir 2.84, 2 Pd 2.87

=====

The following is a GGA-PBE calculation of a relaxed structure of LiPm2As4Ir3, from Alexandria via LeMat-Bulk.

Cell lengths 4.3362, 4.3362, 9.9764 Å; angles 90.00, 90.00, 90.00 degrees
Closest atoms and distances in Å follow each position.
Space group P-4m2 (No. 115)
One atom of each set of equivalent atoms:
Li 0.0000 0.0000 0.0000  4 As 2.55
Pm 0.0000 0.5000 0.7479  8 As 3.28-3.29, 2 Li 3.32, 7 Ir 3.32-3.66
As 0.0000 0.0000 0.5000  4 Ir 2.47
As 0.0000 0.5000 0.1343  3 Ir 2.46-2.55, 2 Li 2.55
As 0.5000 0.5000 0.5000  4 Ir 2.47
Ir 0.0000 0.5000 0.3813  5 As 2.46-2.47
Ir 0.5000 0.5000 0.0000  4 As 2.55

=====

The following is a GGA-PBE calculation of a relaxed structure of LiPm2As3Ir4, from Alexandria via LeMat-Bulk.

Cell lengths 4.1579, 4.1579, 10.4181 Å; angles 90.00, 90.00, 90.00 degrees
Closest atoms and distances in Å follow each position.
Space group P-4m2 (No. 115)
One atom of each set of equivalent atoms:
Li 0.0000 0.0000 0.0000  4 Ir 2.50
Pm 0.0000 0.5000 0.7551  8 Ir 3.16-3.37, 6 As 3.18-3.29, 2 Li 3.29
As 0.0000 0.5000 0.3622  5 Ir 2.39-2.53
As 0.5000 0.5000 0.0000  4 Ir 2.50
Ir 0.0000 0.0000 0.5000  4 As 2.53
Ir 0.0000 0.5000 0.1332  3 As 2.39-2.50, 2 Li 2.50
Ir 0.5000 0.5000 0.5000  4 As 2.53

=====

The following is a GGA-PBE calculation of a relaxed structure of LiPmAsIr, from Alexandria via LeMat-Bulk.

Cell lengths 6.5784, 6.5784, 6.5784 Å; angles 90.00, 90.00, 90.00 degrees
Closest atoms and distances in Å follow each position.
Space group F-43m (No. 216)
One atom of each set of equivalent atoms:
Li 0.0000 0.0000 0.0000  4 As 2.85, 4 Pm 2.85
Pm 0.2500 0.2500 0.7500  4 Li 2.85, 4 Ir 2.85
As 0.2500 0.2500 0.2500  4 Li 2.85, 4 Ir 2.85
Ir 0.0000 0.0000 0.5000  4 Pm 2.85, 4 As 2.85

=====

The following is a GGA-PBE calculation of a relaxed structure of LiPr2As4Ir3, from Alexandria via LeMat-Bulk.

Cell lengths 4.3837, 4.3837, 9.9090 Å; angles 90.00, 90.00, 90.00 degrees
Closest atoms and distances in Å follow each position.
Space group P-4m2 (No. 115)
One atom of each set of equivalent atoms:
Li 0.0000 0.0000 0.0000  4 As 2.56
Pr 0.0000 0.5000 0.7471  8 As 3.29-3.32, 2 Li 3.33, 7 Ir 3.33-3.60
As 0.0000 0.0000 0.5000  4 Ir 2.47
As 0.0000 0.5000 0.1332  3 Ir 2.49-2.56, 2 Li 2.56
As 0.5000 0.5000 0.5000  4 Ir 2.47
Ir 0.0000 0.5000 0.3841  5 As 2.47-2.49
Ir 0.5000 0.5000 0.0000  4 As 2.56

=====

The following is a GGA-PBE calculation of a relaxed structure of LiPr2As3Ir4, from Alexandria via LeMat-Bulk.

Cell lengths 4.1914, 4.1914, 10.4085 Å; angles 90.00, 90.00, 90.00 degrees
Closest atoms and distances in Å follow each position.
Space group P-4m2 (No. 115)
One atom of each set of equivalent atoms:
Li 0.0000 0.0000 0.0000  4 Ir 2.50
Pr 0.0000 0.5000 0.7558  8 Ir 3.19-3.39, 6 As 3.21-3.29, 2 Li 3.29
As 0.0000 0.5000 0.3625  5 Ir 2.40-2.54
As 0.5000 0.5000 0.0000  4 Ir 2.50
Ir 0.0000 0.0000 0.5000  4 As 2.54
Ir 0.0000 0.5000 0.1315  3 As 2.40-2.50, 2 Li 2.50
Ir 0.5000 0.5000 0.5000  4 As 2.54

=====

The following is a GGA-PBE calculation of a relaxed structure of LiPu2As4Ir3, from Alexandria via LeMat-Bulk.

Cell lengths 4.3140, 4.3140, 9.9282 Å; angles 90.00, 90.00, 90.00 degrees
Closest atoms and distances in Å follow each position.
Space group P-4m2 (No. 115)
One atom of each set of equivalent atoms:
Li 0.0000 0.0000 0.0000  4 As 2.54
Pu 0.0000 0.5000 0.7520  8 As 3.25-3.30, 2 Li 3.27, 6 Ir 3.27-3.32
As 0.0000 0.0000 0.5000  4 Ir 2.46
As 0.0000 0.5000 0.1342  3 Ir 2.44-2.54, 2 Li 2.54
As 0.5000 0.5000 0.5000  4 Ir 2.46
Ir 0.0000 0.5000 0.3800  5 As 2.44-2.46
Ir 0.5000 0.5000 0.0000  4 As 2.54

=====

Number 1: ΔH_f (0 K) 0.081 eV/atom. Number 2: ΔH_f (0 K) -0.226 eV/atom. Number 3: ΔH_f (0 K) 0.407 eV/atom. Number 4: ΔH_f (0 K) -0.792 eV/atom. Number 5: ΔH_f (0 K) -0.497 eV/atom. Number 6: ΔH_f (0 K) -0.360 eV/atom. Number 7: ΔH_f (0 K) -0.503 eV/atom. Number 8: ΔH_f (0 K) -0.786 eV/atom. Number 9: ΔH_f (0 K) -0.735 eV/atom. Number 10: ΔH_f (0 K) -0.600 eV/atom. Number 11: ΔH_f (0 K) -0.798 eV/atom. Number 12: ΔH_f (0 K) -0.727 eV/atom. Number 13: ΔH_f (0 K) -0.584 eV/atom.